Record 1
This record from Alexandria via LeMat-Bulk describes a geometry-optimized FeTeSe2Br structure. The functional is PBE.

Lattice parameters (Å, degrees): 4.744 4.744 4.831 90.00 90.00 90.00
Site moments in Bohr magnetons follow the coordinates.
Positions (direct):
Br 0.000 0.000 0.500  0.03
Fe 0.000 0.000 0.000  2.31
Se 0.500 0.000 0.000  0.06
Se 0.000 0.500 0.000  0.06
Te 0.500 0.500 0.500  -0.20

Properties
Formation energy without anion corrections: 0.252 eV per atom
Relative energy among the computed polymorphs: 0 meV per atom
Space-group type: P4/mmm

Record 2
This record from Alexandria via LeMat-Bulk describes a geometry-optimized MnGa2Ni8 structure. The functional is PBE.

Lattice parameters (Å, degrees): 3.783 6.081 6.081 106.49 90.03 90.03
Site moments in Bohr magnetons follow the coordinates.
Positions (direct):
Ni 0.000 0.960 0.701  0.18
Ni 0.000 0.701 0.960  0.18
Ni 0.500 0.240 0.760  0.14
Ni 0.499 0.669 0.669  0.14
Ni 0.000 0.299 0.040  0.18
Ni 0.501 0.331 0.331  0.14
Ni 0.000 0.040 0.299  0.18
Ni 0.500 0.760 0.240  0.14
Ga 0.000 0.371 0.629  -0.03
Ga 0.000 0.629 0.371  -0.03
Mn 0.500 0.000 0.000  2.83

Properties
Relative energy among the computed polymorphs: 24 meV per atom
Space-group type: Cmmm
Energy relative to the elements: -0.002 eV per atom

Record 3
This record from Alexandria via LeMat-Bulk describes a geometry-optimized Pm5Al4Sn structure. The functional is PBE.

Lattice parameters (Å, degrees): 3.683 3.683 19.161 90.00 90.00 90.00
Positions (direct):
Sn 0.000 0.000 0.000
Al 0.000 0.000 0.791
Al 0.000 0.000 0.596
Al 0.000 0.000 0.404
Al 0.000 0.000 0.209
Pm 0.500 0.500 0.307
Pm 0.500 0.500 0.891
Pm 0.500 0.500 0.500
Pm 0.500 0.500 0.109
Pm 0.500 0.500 0.693

Properties
Space-group type: P4/mmm
Energy relative to the elements: -0.409 eV per atom

Record 4
This record from Alexandria via LeMat-Bulk describes a geometry-optimized RbNa structure. The functional is PBE.

Lattice parameters (Å, degrees): 11.914 11.914 6.477 90.00 90.00 120.00
Positions (direct):
Na 0.563 0.126 0.750
Na 0.563 0.437 0.750
Na 0.126 0.563 0.250
Na 0.437 0.874 0.250
Na 0.874 0.437 0.750
Na 0.437 0.563 0.250
Rb 0.644 0.822 0.750
Rb 0.822 0.178 0.250
Rb 0.356 0.178 0.250
Rb 0.178 0.822 0.750
Rb 0.822 0.644 0.250
Rb 0.178 0.356 0.750

Properties
Space-group type: P6_3/mmc
Energy relative to the elements: 0.048 eV per atom

Record 5
This record from Alexandria via LeMat-Bulk describes a geometry-optimized Mn2ZnBr structure. The functional is PBE.

Lattice parameters (Å, degrees): 4.214 4.214 4.214 60.00 60.00 60.00
Positions (direct):
Mn 0.250 0.250 0.250
Mn 0.750 0.750 0.750
Br 0.500 0.500 0.500
Zn 0.000 0.000 0.000

Properties
Formation energy without anion corrections: 0.990 eV per atom
Relative energy among the computed polymorphs: 793 meV per atom
Space-group type: Fm-3m

Record 6
This record from Alexandria via LeMat-Bulk describes a geometry-optimized BaMgAl2Zn2 structure. The functional is PBE.

Lattice parameters (Å, degrees): 4.517 4.517 7.915 90.00 90.00 120.00
Positions (direct):
Zn 0.667 0.333 0.683
Zn 0.333 0.667 0.317
Al 0.667 0.333 0.310
Al 0.333 0.667 0.690
Ba 0.000 0.000 0.000
Mg 0.000 0.000 0.500

Properties
Space-group type: P-3m1
Energy relative to the elements: -0.176 eV per atom

Record 7
This record from Alexandria via LeMat-Bulk describes a geometry-optimized Rb2NaPbI6 structure. The functional is PBE.

Lattice parameters (Å, degrees): 8.781 8.781 8.781 60.00 60.00 90.00
Positions (direct):
I 0.751 0.751 0.000
I 0.751 0.751 0.498
I 0.249 0.249 0.000
I 0.249 0.249 0.502
I 0.751 0.249 0.000
I 0.249 0.751 0.000
Pb 0.000 0.000 0.000
Rb 0.250 0.750 0.500
Rb 0.750 0.250 0.500
Na 0.500 0.500 0.000

Properties
Formation energy without anion corrections: -0.938 eV per atom
Space-group type: Fm-3m

Density of states at the Fermi level / states/eV/cell: 4.1; 14.3; 3.6; 7.7; 6.5; 4.0; 7.7